The following is a PBE with a Hubbard U calculation of a geometry-optimized CaCr2InO8 structure, from the Alexandria database.

a b c (Å): 5.9982 5.9982 5.9982
angles (deg): 105.28 105.28 118.22
Atoms (fractional coordinates):
Ca: 0.0000 0.0000 0.0000
Cr: 0.2500 0.7500 0.5000
Cr: 0.5000 0.5000 0.0000
In: 0.7500 0.2500 0.5000
O: 0.0684 0.3889 0.3204
O: 0.0684 0.7480 0.6796
O: 0.1543 0.3375 0.8169
O: 0.2520 0.9316 0.3204
O: 0.5206 0.3375 0.1831
O: 0.6111 0.9316 0.6796
O: 0.6625 0.4794 0.8169
O: 0.6625 0.8457 0.1831

## Properties
* total DFT energy (no corrections): -6.548 eV/atom
* theoretical density: 3.9 g/cm3